# NaZr GGA-PBE relaxed
data_NaZr
_cell_length_a 6.6447
_cell_length_b 5.1992
_cell_length_c 8.6539
_cell_angle_alpha 90.00
_cell_angle_beta 100.52
_cell_angle_gamma 90.00
_symmetry_space_group_name_H-M 'P 1'
_symmetry_Int_Tables_number 1
loop_
_symmetry_equiv_pos_as_xyz
'x,y,z'
loop_
_atom_site_label
_atom_site_fract_x
_atom_site_fract_y
_atom_site_fract_z
Na1 0.0360 0.2500 0.1207
Na2 0.1873 0.2500 0.7950
Na3 0.2853 0.7500 0.2084
Na4 0.7147 0.2500 0.7916
Na5 0.8127 0.7500 0.2050
Na6 0.9640 0.7500 0.8793
Zr1 0.1454 0.7500 0.5518
Zr2 0.3781 0.2500 0.4718
Zr3 0.4661 0.7500 0.8674
Zr4 0.5339 0.2500 0.1326
Zr5 0.6219 0.7500 0.5282
Zr6 0.8546 0.2500 0.4482
# - Magnetization: 4.0 Bohr magnetons per cell


This record from the Open Quantum Materials Database describes a geometry-optimized RbNaAgSb structure. The functional is GGA-PBE.

```
data_RbNaAgSb
_cell_length_a 6.2618
_cell_length_b 8.2334
_cell_length_c 10.2482
_cell_angle_alpha 90.00
_cell_angle_beta 90.00
_cell_angle_gamma 90.00
_symmetry_space_group_name_H-M 'P 1'
_symmetry_Int_Tables_number 1
loop_
_symmetry_equiv_pos_as_xyz
'x,y,z'
loop_
_atom_site_label
_atom_site_fract_x
_atom_site_fract_y
_atom_site_fract_z
Rb1 0.2500 0.1548 0.0000
Rb2 0.2500 0.6548 0.5000
Rb3 0.7500 0.3452 0.5000
Rb4 0.7500 0.8452 0.0000
Na1 0.2500 0.1550 0.6528
Na2 0.2500 0.6550 0.1528
Na3 0.7500 0.3450 0.1528
Na4 0.7500 0.8450 0.6528
Ag1 0.0000 0.0000 0.3180
Ag2 0.0000 0.5000 0.8180
Ag3 0.5000 0.0000 0.3180
Ag4 0.5000 0.5000 0.8180
Sb1 0.2500 0.2689 0.3338
Sb2 0.2500 0.7689 0.8338
Sb3 0.7500 0.2311 0.8338
Sb4 0.7500 0.7311 0.3338
```


# Na4Zr2Si3O12 GGA-PBE relaxed
data_Na4Zr2Si3O12
_cell_length_a 9.0362
_cell_length_b 9.0362
_cell_length_c 9.0362
_cell_angle_alpha 61.39
_cell_angle_beta 61.39
_cell_angle_gamma 61.39
_symmetry_space_group_name_H-M 'P 1'
_symmetry_Int_Tables_number 1
loop_
_symmetry_equiv_pos_as_xyz
'x,y,z'
loop_
_atom_site_label
_atom_site_fract_x
_atom_site_fract_y
_atom_site_fract_z
Na1 0.0000 0.0000 0.0000
Na2 0.1151 0.7500 0.3849
Na3 0.2500 0.6151 0.8849
Na4 0.3849 0.1151 0.7500
Na5 0.5000 0.5000 0.5000
Na6 0.6151 0.8849 0.2500
Na7 0.7500 0.3849 0.1151
Na8 0.8849 0.2500 0.6151
Zr1 0.1460 0.1460 0.1460
Zr2 0.3540 0.3540 0.3540
Zr3 0.6460 0.6460 0.6460
Zr4 0.8540 0.8540 0.8540
Si1 0.0501 0.4499 0.7500
Si2 0.2500 0.9499 0.5501
Si3 0.4499 0.7500 0.0501
Si4 0.5501 0.2500 0.9499
Si5 0.7500 0.0501 0.4499
Si6 0.9499 0.5501 0.2500
O1 0.0110 0.6184 0.8020
O2 0.0661 0.2628 0.9148
O3 0.0852 0.9339 0.7372
O4 0.1184 0.5110 0.3020
O5 0.1980 0.9890 0.3816
O6 0.2372 0.4339 0.5852
O7 0.2628 0.9148 0.0661
O8 0.3020 0.1184 0.5110
O9 0.3816 0.1980 0.9890
O10 0.4148 0.7628 0.5661
O11 0.4339 0.5852 0.2372
O12 0.4890 0.6980 0.8816
O13 0.5110 0.3020 0.1184
O14 0.5661 0.4148 0.7628
O15 0.5852 0.2372 0.4339
O16 0.6184 0.8020 0.0110
O17 0.6980 0.8816 0.4890
O18 0.7372 0.0852 0.9339
O19 0.7628 0.5661 0.4148
O20 0.8020 0.0110 0.6184
O21 0.8816 0.4890 0.6980
O22 0.9148 0.0661 0.2628
O23 0.9339 0.7372 0.0852
O24 0.9890 0.3816 0.1980
# - Magnetization: 0.0 Bohr magnetons per cell


# NaZrCu3Se4 GGA-PBE relaxed
data_NaZrCu3Se4
_cell_length_a 5.9932
_cell_length_b 5.9932
_cell_length_c 5.9932
_cell_angle_alpha 90.00
_cell_angle_beta 90.00
_cell_angle_gamma 90.00
_symmetry_space_group_name_H-M 'P 1'
_symmetry_Int_Tables_number 1
loop_
_symmetry_equiv_pos_as_xyz
'x,y,z'
loop_
_atom_site_label
_atom_site_fract_x
_atom_site_fract_y
_atom_site_fract_z
Na1 0.0000 0.0000 0.0000
Zr1 0.5000 0.5000 0.5000
Cu1 0.0000 0.5000 0.5000
Cu2 0.5000 0.0000 0.5000
Cu3 0.5000 0.5000 0.0000
Se1 0.2590 0.2590 0.2590
Se2 0.2590 0.7410 0.7410
Se3 0.7410 0.2590 0.7410
Se4 0.7410 0.7410 0.2590
# - Magnetization: 0.0 Bohr magnetons per cell


Number 1: uncorrected energy -52.1 eV for the cell shown. Number 2: uncorrected energy -42.1 eV for the cell shown. Number 3: uncorrected energy -310.3 eV for the cell shown. Number 4: uncorrected energy -41.2 eV for the cell shown.